A plane-wave DFT calculation with PBE was carried out for a relaxed structure of PmY8.

a b c (Å): 5.054 8.009 8.009
angles (deg): 84.29 71.61 71.61
Sites, in units of the cell vectors:
Y: 0.667 0.666 0.000
Y: 0.333 0.000 0.334
Y: 0.000 0.667 0.333
Y: 0.333 0.334 0.000
Y: 0.333 0.667 0.667
Y: 0.667 0.000 0.666
Y: 0.000 0.333 0.667
Y: 0.667 0.333 0.333
Pm: 0.000 0.000 0.000

Calculated values
For the energy relative to the elements, the calculation gives 0.0219 eV per atom. The volume comes out at 292 Å³/f.u.

---

A plane-wave DFT calculation with PBE was carried out for a relaxed structure of Pm3Y13.

a b c (Å): 7.336 8.519 8.519
angles (deg): 96.06 90.00 90.00
Sites, in units of the cell vectors:
Pm: 0.749 0.041 0.959
Pm: 0.000 0.292 0.708
Pm: 0.251 0.041 0.959
Y: 0.250 0.957 0.540
Y: 0.250 0.460 0.043
Y: 0.000 0.791 0.209
Y: 0.250 0.542 0.458
Y: 0.750 0.460 0.043
Y: 0.750 0.957 0.540
Y: 0.500 0.791 0.209
Y: 0.750 0.542 0.458
Y: 0.500 0.292 0.708
Y: 0.000 0.707 0.791
Y: 0.500 0.708 0.790
Y: 0.000 0.209 0.293
Y: 0.500 0.210 0.292

Calculated values
For the energy relative to the elements, the calculation gives 0.0059 eV per atom. The volume comes out at 529 Å³/f.u. The calculation puts the energy above the most stable polymorph in this dataset at 0 meV per atom.

---

A plane-wave DFT calculation with PBE was carried out for a relaxed structure of Pm4Y.

a b c (Å): 5.799 5.799 5.799
angles (deg): 90.00 90.00 90.00
Sites, in units of the cell vectors:
Pm: 0.000 0.500 0.500
Pm: 0.500 0.500 0.000
Pm: 0.500 0.000 0.500
Pm: 0.000 0.000 0.000
Y: 0.500 0.500 0.500

Calculated values
For the energy relative to the elements, the calculation gives 0.6734 eV per atom. The volume comes out at 195 Å³/f.u. The calculation puts the energy above the most stable polymorph in this dataset at 663 meV per atom.

---

A plane-wave DFT calculation with PBE was carried out for a relaxed structure of PmY2.

a b c (Å): 3.596 3.596 8.055
angles (deg): 102.90 102.90 90.00
Sites, in units of the cell vectors:
Pm: 0.000 0.000 0.000
Y: 0.333 0.333 0.666
Y: 0.667 0.667 0.334

Calculated values
For the energy relative to the elements, the calculation gives 0.0196 eV per atom. The volume comes out at 99 Å³/f.u. The calculation puts the energy above the most stable polymorph in this dataset at 28 meV per atom.

---

A plane-wave DFT calculation with PBE was carried out for a relaxed structure of Pm5Y2.

a b c (Å): 5.794 5.794 8.842
angles (deg): 70.87 70.87 60.00
Sites, in units of the cell vectors:
Pm: 0.931 0.931 0.207
Pm: 0.069 0.069 0.793
Pm: 0.500 0.500 0.500
Pm: 0.792 0.792 0.626
Pm: 0.208 0.208 0.374
Y: 0.650 0.650 0.050
Y: 0.350 0.350 0.950

Calculated values
For the energy relative to the elements, the calculation gives 0.1334 eV per atom. The volume comes out at 238 Å³/f.u.

---

A plane-wave DFT calculation with PBE was carried out for a relaxed structure of Pm7Y.

a b c (Å): 7.279 7.279 7.279
angles (deg): 60.00 60.00 60.00
Sites, in units of the cell vectors:
Pm: 0.500 0.000 0.500
Pm: 0.000 0.500 0.500
Pm: 0.000 0.000 0.500
Pm: 0.000 0.500 0.000
Pm: 0.500 0.000 0.000
Pm: 0.500 0.500 0.500
Pm: 0.500 0.500 0.000
Y: 0.000 0.000 0.000

Calculated values
For the energy relative to the elements, the calculation gives 0.0083 eV per atom. The volume comes out at 273 Å³/f.u.

---

A plane-wave DFT calculation with PBE was carried out for a relaxed structure of Pm4Y.

a b c (Å): 3.637 3.637 14.950
angles (deg): 83.09 83.09 59.99
Sites, in units of the cell vectors:
Pm: 0.200 0.200 0.399
Pm: 0.800 0.800 0.601
Pm: 0.399 0.399 0.802
Pm: 0.601 0.601 0.198
Y: 0.000 0.000 0.000

Calculated values
For the energy relative to the elements, the calculation gives 0.0103 eV per atom. The volume comes out at 170 Å³/f.u. The calculation puts the energy above the most stable polymorph in this dataset at 0 meV per atom.

---

A plane-wave DFT calculation with PBE was carried out for a relaxed structure of Pm4Y3.

a b c (Å): 3.518 8.864 9.309
angles (deg): 122.91 100.89 90.00
Sites, in units of the cell vectors:
Y: 0.221 0.296 0.442
Y: 0.000 0.000 0.000
Y: 0.779 0.704 0.558
Pm: 0.078 0.453 0.157
Pm: 0.638 0.866 0.275
Pm: 0.362 0.134 0.725
Pm: 0.922 0.547 0.843

Calculated values
For the energy relative to the elements, the calculation gives 0.1280 eV per atom. The volume comes out at 237 Å³/f.u. The calculation puts the energy above the most stable polymorph in this dataset at 114 meV per atom.